VASP calculation (PBE) on crystalline Rb2CdAg2 at its relaxed geometry.

Geometry as CIF:
```
data_Rb2CdAg2
_cell_length_a 6.917
_cell_length_b 6.917
_cell_length_c 8.314
_cell_angle_alpha 90.00
_cell_angle_beta 90.00
_cell_angle_gamma 90.00
_space_group_name_H-M_alt 'I 4/m m m'
_space_group_IT_number 139
_space_group_name_Hall '-I 4 2'
loop_
_atom_site_label
_atom_site_type_symbol
_atom_site_fract_x
_atom_site_fract_y
_atom_site_fract_z
_atom_site_occupancy
Rb1 Rb 0.000 0.500 0.250 1
Cd1 Cd 0.000 0.000 0.000 1
Ag1 Ag 0.000 0.000 0.337 1
```

Calculated values
- DFT formation energy (meV/atom) = 90
- energy relative to the lowest polymorph listed for this composition (meV per atom) = 120.3
- total DFT energy (no corrections) (eV per atom) = -1.62
- DOS(E_F) (states/eV/f.u.) = 2.63
- volume (Å³ per cell) = 397.78